VASP calculation (GGA-PBE) on crystalline In2AgCl at its relaxed geometry.

Spin magnetization   0.00 μB per atom
Energy   -2.71 eV/atom
Space group   No. 119

abc: 6.5862 6.5862 6.5862
angles: 142.43 142.43 54.18
Closest atoms and distances in Å follow each position.
Atoms (fractional coordinates):
In 0.0000 0.0000 0.0000  4 Cl 3.00
In 0.7500 0.2500 0.5000  4 Ag 3.00
Ag 0.2500 0.7500 0.5000  4 In 3.00
Cl 0.5000 0.5000 0.0000  4 In 3.00


VASP calculation (GGA-PBE) on crystalline SrAsP2 at its relaxed geometry.

DFT formation energy   -1.51 eV per formula unit
Spin magnetization   0.00 μB per atom
Space group   No. 12

abc: 5.3169 5.3169 5.5022
angles: 113.50 113.50 39.25
Closest atoms and distances in Å follow each position.
Atoms (fractional coordinates):
Sr 0.0000 0.0000 0.0000  6 P 3.10-3.29, 4 As 3.28
As 0.5000 0.5000 0.5000  4 P 2.66
P 0.2141 0.2141 0.6051  2 P 2.40, 2 As 2.66
P 0.7859 0.7859 0.3949  2 P 2.40, 2 As 2.66


VASP calculation (GGA-PBE) on crystalline ZnHgF2 at its relaxed geometry.

Spin magnetization   0.00 μB per atom
Energy   -2.99 eV/atom
Space group   No. 166

abc: 9.1082 9.1082 9.1082
angles: 20.38 20.38 20.38
Closest atoms and distances in Å follow each position.
Atoms (fractional coordinates):
Zn 0.0000 0.0000 0.0000  6 F 2.10
Hg 0.5000 0.5000 0.5000  6 Hg 3.22, 2 F 3.49
F 0.3697 0.3697 0.3697  3 Zn 2.10
F 0.6303 0.6303 0.6303  3 Zn 2.10


VASP calculation (GGA-PBE) on crystalline Zr5NbRu4 at its relaxed geometry.

DFT formation energy   -4.97 eV per formula unit
Spin magnetization   0.00 μB per atom
Space group   No. 123

abc: 3.2772 3.2772 16.9244
angles: 90.00 90.00 90.00
Closest atoms and distances in Å follow each position.
Atoms (fractional coordinates):
Zr 0.0000 0.0000 0.0000  8 Ru 2.84
Zr 0.0000 0.0000 0.1947  8 Ru 2.83-2.85
Zr 0.0000 0.0000 0.3883  4 Ru 2.84, 4 Nb 2.99
Zr 0.0000 0.0000 0.6117  4 Ru 2.84, 4 Nb 2.99
Zr 0.0000 0.0000 0.8053  8 Ru 2.83-2.85
Nb 0.5000 0.5000 0.5000  8 Zr 2.99, 4 Nb 3.28
Ru 0.5000 0.5000 0.0971  8 Zr 2.84-2.85
Ru 0.5000 0.5000 0.2908  8 Zr 2.83-2.84
Ru 0.5000 0.5000 0.7092  8 Zr 2.83-2.84
Ru 0.5000 0.5000 0.9029  8 Zr 2.84-2.85